Material: Sb2TeRuO
Method: DFT, PBE-GGA
State: relaxed

Lattice parameters (Å, degrees): 5.106 5.106 5.044 90.00 90.00 90.00
Positions (direct):
Sb (0.000, 0.500, 0.000)
Sb (0.500, 0.000, 0.000)
Te (0.000, 0.000, 0.500)
Ru (0.000, 0.000, 0.000)
O (0.500, 0.500, 0.500)

## Properties
* total energy: -21.710 eV per cell
* ΔE_f (raw): 0.78 eV/atom

=====

Material: PmURu4
Method: DFT, PBE-GGA
State: relaxed

Lattice parameters (Å, degrees): 5.341 5.341 5.341 60.00 60.00 60.00
Positions (direct):
Pm (0.000, 0.000, 0.000)
U (0.750, 0.750, 0.750)
Ru (0.375, 0.375, 0.375)
Ru (0.375, 0.375, 0.874)
Ru (0.375, 0.874, 0.375)
Ru (0.874, 0.375, 0.375)

## Properties
* total energy: -53.758 eV per cell
* energy relative to the elements: -0.62 eV/f.u.

=====

Material: Pu2NpC
Method: DFT, PBE-GGA
State: relaxed

Lattice parameters (Å, degrees): 3.351 3.351 5.677 90.00 90.00 90.00
Positions (direct):
Pu (0.000, 0.000, 0.222)
Pu (0.000, 0.000, 0.778)
Np (0.500, 0.500, 0.500)
C (0.500, 0.500, 0.000)

## Properties
* total energy: -49.046 eV per cell
* energy relative to the elements: 1.78 eV/f.u.